5
Lattice="4.141 0.000 0.000 0.000 4.141 0.000 0.000 0.000 4.141" Properties=species:S:1:pos:R:3 comment="HgBIr3 | Alexandria | GGA-PBEsol | optimized geometry" energy_ha_per_atom=-0.263 sg="Pm-3m, No. 221" pbc="T T T"
Hg 0.000 0.000 0.000
B 2.070 2.070 2.070
Ir 0.000 2.070 2.070
Ir 2.070 0.000 2.070
Ir 2.070 2.070 0.000